No. 1
{"formula": "RuPt", "functional": "GGA-PBEsol", "state": "optimized geometry", "cell": [[5.0054, -1.3569, 0.0000], [5.0054, 1.3569, 0.0000], [-1.6942, 0.0000, 6.2551]], "species": ["Ru", "Ru", "Ru", "Pt", "Pt", "Pt"], "fractional_positions": [[0.0000, 0.0000, 0.0000], [0.0551, 0.0551, 0.5977], [0.4044, 0.4044, 0.2766], [0.3443, 0.3443, 0.6674], [0.6723, 0.6723, 0.3271], [0.7228, 0.7228, 0.9420]], "volume_a3_per_cell": 85, "final_energy_ev_per_cell": -51.08}

=====

No. 2
{"formula": "HfZr2CuPd", "functional": "GGA-PBEsol", "state": "optimized geometry", "cell": [[4.7659, 0.0000, 0.0000], [0.0000, 4.7659, 0.0000], [0.0000, 0.0000, 4.5620]], "species": ["Hf", "Zr", "Zr", "Cu", "Pd"], "fractional_positions": [[0.0000, 0.0000, 0.0000], [0.0000, 0.5000, 0.5000], [0.5000, 0.0000, 0.5000], [0.5000, 0.5000, 0.5000], [0.5000, 0.5000, 0.0000]], "volume_a3_per_cell": 104, "final_energy_ev_per_cell": -36.42}

=====

No. 3
{"formula": "CuHg2W", "functional": "GGA-PBEsol", "state": "optimized geometry", "cell": [[-1.3795, 2.4772, 5.0463], [1.3795, -2.4772, 5.0463], [1.3795, 2.4772, -5.0463]], "species": ["Cu", "Hg", "Hg", "W"], "fractional_positions": [[0.0000, 0.0000, 0.0000], [0.4791, 0.4791, 0.0000], [0.7559, 0.2559, 0.5000], [0.2177, 0.7177, 0.5000]], "volume_a3_per_cell": 69, "final_energy_ev_per_cell": -16.77, "relative_energy_kj_per_mol_fu": 0}

=====

No. 4
{"formula": "Sr2NiIr", "functional": "GGA-PBEsol", "state": "optimized geometry", "cell": [[4.2982, 0.0000, 0.0000], [0.0000, 2.2845, 5.1848], [0.0000, -2.2845, 5.1848]], "species": ["Sr", "Sr", "Ni", "Ir"], "fractional_positions": [[0.0000, 0.0000, 0.0000], [0.5000, 0.2897, 0.2897], [0.5000, 0.6042, 0.6042], [0.0000, 0.6879, 0.6879]], "volume_a3_per_cell": 102, "final_energy_ev_per_cell": -20.02}